Material: SrRh2WO
Method: DFT, GGA+U
State: optimized geometry

Results
magnetic moment	3.11	μB per formula unit
V	21.74	Å³ per atom
uncorrected energy	-21.14	eV for the cell shown
crystal system	tetragonal

Cell: 5.0525 5.0525 4.2584 Å, 90.00 90.00 90.00°
Fractional coordinates of all 5 atoms:
Sr: 0.0000 0.0000 0.0000
Rh: 0.0000 0.5000 0.0000
Rh: 0.5000 0.0000 0.0000
W: 0.5000 0.5000 0.5000
O: 0.0000 0.0000 0.5000